[1]
This record from Alexandria describes a geometry-optimized Mn6CoRu structure. The functional is GGA-PBE.

Properties
Density of states at the Fermi level: 7.9 states/eV/cell
V: 94.59 Å³/cell
ΔE_f: -4 meV per atom
E: -8.93 eV per atom

Lattice parameters (Å, degrees): 3.6388 5.0988 5.0988 90.66 90.00 90.00
Last column: nearest neighbours and their distance in Å.
Atoms (fractional coordinates):
Mn 0.5000 0.0000 0.5000  2 Co 2.55, 2 Ru 2.55, 8 Mn 2.55-2.57
Mn 0.5000 0.5000 0.0000  2 Ru 2.55, 2 Co 2.55, 8 Mn 2.55-2.57
Mn 0.0000 0.2427 0.2427  8 Mn 2.47-2.63, 2 Co 2.52, 2 Ru 2.59
Mn 0.0000 0.7573 0.7573  8 Mn 2.47-2.63, 2 Co 2.52, 2 Ru 2.59
Mn 0.0000 0.7578 0.2422  8 Mn 2.47-2.63, 2 Co 2.53, 2 Ru 2.61
Mn 0.0000 0.2422 0.7578  8 Mn 2.47-2.63, 2 Co 2.53, 2 Ru 2.61
Co 0.5000 0.0000 0.0000  12 Mn 2.52-2.55
Ru 0.5000 0.5000 0.5000  12 Mn 2.55-2.61

=====

[2]
This record from Alexandria describes a geometry-optimized Mn3CoRu structure. The functional is GGA-PBE.

Properties
Density of states at the Fermi level: 12.2 states/eV/cell
V: 68.55 Å³/cell
ΔE_f: 1408 meV per atom
Relative energy among the computed polymorphs: 638 kJ/mol of formula units
E: -7.37 eV per atom

Lattice parameters (Å, degrees): 4.0927 4.0927 4.0927 90.00 90.00 90.00
Last column: nearest neighbours and their distance in Å.
Atoms (fractional coordinates):
Ru 0.5000 0.5000 0.5000  12 Mn 2.89
Mn 0.0000 0.5000 0.0000  2 Co 2.05
Mn 0.0000 0.0000 0.5000  2 Co 2.05
Mn 0.5000 0.0000 0.0000  2 Co 2.05
Co 0.0000 0.0000 0.0000  6 Mn 2.05

=====

[3]
This record from Alexandria describes a geometry-optimized MnCoRu2 structure. The functional is GGA-PBE.

Properties
Density of states at the Fermi level: 5.6 states/eV/cell
V: 50.90 Å³/cell
ΔE_f: 199 meV per atom
Relative energy among the computed polymorphs: 47 kJ/mol of formula units
E: -8.51 eV per atom

Lattice parameters (Å, degrees): 8.5352 8.5352 8.5352 17.83 17.83 17.83
Last column: nearest neighbours and their distance in Å.
Atoms (fractional coordinates):
Co 0.4973 0.4973 0.4973  3 Mn 2.51, 3 Ru 2.60, 6 Co 2.65
Mn 0.7516 0.7516 0.7516  3 Co 2.51, 3 Ru 2.56, 6 Mn 2.65
Ru 0.0034 0.0034 0.0034  3 Mn 2.56, 9 Ru 2.65-2.71
Ru 0.2477 0.2477 0.2477  3 Co 2.60, 9 Ru 2.65-2.71

=====

[4]
This record from Alexandria describes a geometry-optimized Mn2CoRu structure. The functional is GGA-PBE.

Properties
Density of states at the Fermi level: 4.7 states/eV/cell
V: 50.73 Å³/cell
ΔE_f: 220 meV per atom
E: -8.46 eV per atom

Lattice parameters (Å, degrees): 2.5952 2.5952 8.1958 90.00 90.00 113.22
Last column: nearest neighbours and their distance in Å.
Atoms (fractional coordinates):
Co 0.5000 0.5000 0.7500  4 Mn 2.43, 4 Co 2.60
Mn 0.0000 0.0000 0.9906  2 Co 2.43, 2 Ru 2.56, 4 Mn 2.60
Mn 0.0000 0.0000 0.5094  2 Co 2.43, 2 Ru 2.56, 4 Mn 2.60
Ru 0.5000 0.5000 0.2500  4 Mn 2.56, 6 Ru 2.60-2.86

=====

[5]
This record from Alexandria describes a geometry-optimized Mn2CoRu structure. The functional is GGA-PBE.

Properties
Density of states at the Fermi level: 4.1 states/eV/cell
V: 46.80 Å³/cell
ΔE_f: 61 meV per atom
E: -8.62 eV per atom

Lattice parameters (Å, degrees): 4.4072 4.4072 4.4072 131.66 131.67 70.76
Last column: nearest neighbours and their distance in Å.
Atoms (fractional coordinates):
Co 0.2500 0.7500 0.5000  8 Mn 2.55, 4 Ru 2.55
Mn 0.0000 0.0000 0.0000  4 Co 2.55, 4 Ru 2.55, 4 Mn 2.55
Mn 0.5000 0.5000 0.0000  4 Co 2.55, 4 Ru 2.55, 4 Mn 2.55
Ru 0.7500 0.2500 0.5000  8 Mn 2.55, 4 Co 2.55

=====

[6]
This record from Alexandria describes a geometry-optimized Mn2CoRu structure. The functional is GGA-PBE.

Properties
Density of states at the Fermi level: 5.8 states/eV/cell
V: 47.11 Å³/cell
ΔE_f: 182 meV per atom
E: -8.50 eV per atom

Lattice parameters (Å, degrees): 8.3493 8.3493 8.3493 17.73 17.73 17.73
Last column: nearest neighbours and their distance in Å.
Atoms (fractional coordinates):
Co 0.7500 0.7500 0.7500  6 Mn 2.48, 6 Co 2.57
Mn 0.0026 0.0026 0.0026  3 Co 2.48, 6 Mn 2.57, 3 Ru 2.59
Mn 0.4974 0.4974 0.4974  3 Co 2.48, 6 Mn 2.57, 3 Ru 2.59
Ru 0.2500 0.2500 0.2500  6 Ru 2.57, 6 Mn 2.59

=====

[7]
This record from Alexandria describes a geometry-optimized MnCoRu2 structure. The functional is GGA-PBE.

Properties
Density of states at the Fermi level: 4.5 states/eV/cell
V: 50.86 Å³/cell
ΔE_f: 148 meV per atom
Relative energy among the computed polymorphs: 28 kJ/mol of formula units
E: -8.56 eV per atom

Lattice parameters (Å, degrees): 8.5922 8.5922 8.5922 17.64 17.64 17.64
Last column: nearest neighbours and their distance in Å.
Atoms (fractional coordinates):
Co 0.2500 0.2500 0.2500  6 Ru 2.63, 6 Co 2.64
Mn 0.7500 0.7500 0.7500  6 Ru 2.58, 6 Mn 2.64
Ru 0.0014 0.0014 0.0014  3 Mn 2.58, 3 Co 2.63, 6 Ru 2.64
Ru 0.4986 0.4986 0.4986  3 Mn 2.58, 3 Co 2.63, 6 Ru 2.64

=====

[8]
This record from Alexandria describes a geometry-optimized Mn5Co6Ru structure. The functional is GGA-PBE.

Properties
Density of states at the Fermi level: 13.5 states/eV/cell
V: 134.95 Å³/cell
ΔE_f: 35 meV per atom
E: -8.11 eV per atom

Lattice parameters (Å, degrees): 4.3505 5.0383 6.1575 90.00 90.88 90.00
Last column: nearest neighbours and their distance in Å.
Atoms (fractional coordinates):
Ru 0.0000 0.0000 0.0000  4 Mn 2.50-2.52, 8 Co 2.52-2.55
Mn 0.6783 0.5000 0.3266  4 Mn 2.47-2.66, 8 Co 2.48-2.52
Mn 0.3229 0.0000 0.6686  8 Co 2.47-2.52, 1 Ru 2.50, 3 Mn 2.52-2.60
Mn 0.0000 0.5000 0.0000  2 Mn 2.47, 8 Co 2.51-2.54, 2 Ru 2.52
Mn 0.6771 0.0000 0.3314  8 Co 2.47-2.52, 1 Ru 2.50, 3 Mn 2.52-2.60
Mn 0.3217 0.5000 0.6734  4 Mn 2.47-2.66, 8 Co 2.48-2.52
Co 0.8231 0.7483 0.6609  7 Mn 2.47-2.54, 4 Co 2.50-2.54, 1 Ru 2.55
Co 0.8231 0.2517 0.6609  7 Mn 2.47-2.54, 4 Co 2.50-2.54, 1 Ru 2.55
Co 0.5000 0.2510 0.0000  6 Mn 2.48-2.51, 4 Co 2.51-2.54, 2 Ru 2.52
Co 0.5000 0.7490 0.0000  6 Mn 2.48-2.51, 4 Co 2.51-2.54, 2 Ru 2.52
Co 0.1769 0.7483 0.3391  7 Mn 2.47-2.54, 4 Co 2.50-2.54, 1 Ru 2.55
Co 0.1769 0.2517 0.3391  7 Mn 2.47-2.54, 4 Co 2.50-2.54, 1 Ru 2.55

=====

[9]
This record from Alexandria describes a geometry-optimized MnCoRu2 structure. The functional is GGA-PBE.

Properties
Density of states at the Fermi level: 5.8 states/eV/cell
V: 50.28 Å³/cell
ΔE_f: 122 meV per atom
Relative energy among the computed polymorphs: 17 kJ/mol of formula units
E: -8.59 eV per atom

Lattice parameters (Å, degrees): 3.6181 2.6288 5.9071 63.49 90.00 90.00
Last column: nearest neighbours and their distance in Å.
Atoms (fractional coordinates):
Co 0.5000 0.2500 0.2500  8 Ru 2.59, 2 Co 2.63, 2 Mn 2.64
Mn 0.5000 0.7500 0.7500  8 Ru 2.60, 2 Mn 2.63, 2 Co 2.64
Ru 0.0000 0.9976 0.0024  4 Co 2.59, 4 Mn 2.60, 4 Ru 2.62-2.67
Ru 0.0000 0.5024 0.4976  4 Co 2.59, 4 Mn 2.60, 4 Ru 2.62-2.67

=====

[10]
This record from Alexandria describes a geometry-optimized Mn2CoRu structure. The functional is GGA-PBE.

Properties
Density of states at the Fermi level: 3.7 states/eV/cell
V: 46.67 Å³/cell
ΔE_f: 63 meV per atom
E: -8.62 eV per atom

Lattice parameters (Å, degrees): 3.5933 3.6038 3.6038 90.00 90.00 90.00
Last column: nearest neighbours and their distance in Å.
Atoms (fractional coordinates):
Ru 0.5000 0.5000 0.0000  8 Mn 2.54, 4 Co 2.55
Mn 0.0000 0.0000 0.0000  4 Co 2.54, 4 Ru 2.54, 4 Mn 2.55
Mn 0.0000 0.5000 0.5000  4 Co 2.54, 4 Ru 2.54, 4 Mn 2.55
Co 0.5000 0.0000 0.5000  8 Mn 2.54, 4 Ru 2.55

=====

[11]
This record from Alexandria describes a geometry-optimized ScMnCoRu structure. The functional is GGA-PBE.

Properties
Density of states at the Fermi level: 6.1 states/eV/cell
V: 56.53 Å³/cell
ΔE_f: -142 meV per atom
E: -8.11 eV per atom

Lattice parameters (Å, degrees): 4.3079 4.3079 4.3079 60.00 60.00 60.00
Last column: nearest neighbours and their distance in Å.
Atoms (fractional coordinates):
Sc 0.5000 0.5000 0.5000  4 Ru 2.64, 4 Co 2.64
Ru 0.7500 0.7500 0.7500  4 Sc 2.64, 4 Mn 2.64
Mn 0.0000 0.0000 0.0000  4 Co 2.64, 4 Ru 2.64
Co 0.2500 0.2500 0.2500  4 Mn 2.64, 4 Sc 2.64

=====

[12]
This record from Alexandria describes a geometry-optimized Mn2CoSiRu structure. The functional is GGA-PBE.

Properties
Density of states at the Fermi level: 3.7 states/eV/cell
V: 82.36 Å³/cell
E: -7.16 eV per atom

Lattice parameters (Å, degrees): 4.3654 4.3216 4.3654 90.00 90.00 90.00
Last column: nearest neighbours and their distance in Å.
Atoms (fractional coordinates):
Ru 0.0000 0.5000 0.0000  2 Si 2.16
Si 0.0000 0.0000 0.0000  2 Ru 2.16, 4 Mn 2.18
Mn 0.0000 0.0000 0.5000  2 Si 2.18
Mn 0.5000 0.0000 0.0000  2 Si 2.18
Co 0.5000 0.5000 0.5000  8 Mn 3.07, 4 Ru 3.09

=====

[13]
This record from Alexandria describes a geometry-optimized MnCoSiRu structure. The functional is GGA-PBE.

Properties
Density of states at the Fermi level: 2.4 states/eV/cell
V: 48.64 Å³/cell
E: -8.14 eV per atom

Lattice parameters (Å, degrees): 4.0973 4.0973 4.0973 60.00 60.00 60.00
Last column: nearest neighbours and their distance in Å.
Atoms (fractional coordinates):
Ru 0.5000 0.5000 0.5000  4 Si 2.51, 4 Mn 2.51
Si 0.7500 0.7500 0.7500  4 Co 2.51, 4 Ru 2.51
Mn 0.2500 0.2500 0.2500  4 Ru 2.51, 4 Co 2.51
Co 0.0000 0.0000 0.0000  4 Mn 2.51, 4 Si 2.51